Density functional theory data (SCAN) for LiMn2Cd at its PBEsol-relaxed geometry.

```
LiMn2Cd
1.0
2.717 0.036 0.000
-0.541 4.737 0.000
-1.088 -2.387 4.680
Mn Cd Li
2 1 1
Direct
0.500 0.500 0.500
0.000 0.000 0.500
0.000 0.500 0.000
0.500 0.000 0.000
```

Output
The formation enthalpy at 0 K is 98 meV/atom. Its space group is C2/m (12). The value obtained for the magnetic moment is 1.9305 μB/atom.